The following is a GGA-PBEsol calculation of a relaxed TlMoS2N crystal, from Alexandria via LeMat-Bulk.

a = 3.8040 Å, b = 4.8429 Å, c = 4.8429 Å
α = 90.00°, β = 90.00°, γ = 90.00°
Last column: nearest neighbours and their distance in Å.
Positions (direct):
S 0.0000 0.0000 0.5000  2 Mo 2.42
S 0.0000 0.5000 0.0000  2 Mo 2.42
N 0.5000 0.0000 0.0000  2 Mo 1.90
Tl 0.5000 0.5000 0.5000  8 S 3.08, 4 N 3.42
Mo 0.0000 0.0000 0.0000  2 N 1.90

Output
* formation energy (no corrections): -0.140 eV per atom
* total DFT energy (no corrections): -32.39 eV for the cell shown
* symmetry: P4/mmm

---

The following is a GGA-PBEsol calculation of a relaxed SbTe2MoN crystal, from Alexandria via LeMat-Bulk.

a = 4.6845 Å, b = 4.5566 Å, c = 4.5566 Å
α = 90.00°, β = 90.00°, γ = 90.00°
Last column: nearest neighbours and their distance in Å.
Positions (direct):
Te 0.0000 0.0000 0.5000  2 N 2.28
Te 0.0000 0.5000 0.0000  2 N 2.28
N 0.0000 0.0000 0.0000  4 Te 2.28, 2 Sb 2.34
Sb 0.5000 0.0000 0.0000  2 N 2.34
Mo 0.5000 0.5000 0.5000  4 Sb 3.22, 8 Te 3.27

Output
* formation energy (no corrections): 0.912 eV per atom
* total DFT energy (no corrections): -27.35 eV for the cell shown
* symmetry: P4/mmm

---

The following is a GGA-PBEsol calculation of a relaxed SbMoWN2 crystal, from Alexandria via LeMat-Bulk.

a = 3.9059 Å, b = 3.9059 Å, c = 5.3620 Å
α = 90.00°, β = 90.00°, γ = 90.00°
Last column: nearest neighbours and their distance in Å.
Positions (direct):
N 0.0000 0.5000 0.0000  2 Sb 1.95
N 0.5000 0.0000 0.0000  2 Sb 1.95
Mo 0.5000 0.5000 0.5000  4 W 2.76
W 0.0000 0.0000 0.5000  2 Sb 2.68, 4 Mo 2.76
Sb 0.0000 0.0000 0.0000  4 N 1.95

Output
* formation energy (no corrections): 2.323 eV per atom
* total DFT energy (no corrections): -35.57 eV for the cell shown
* symmetry: P4/mmm

---

The following is a GGA-PBEsol calculation of a relaxed ScMo3N crystal, from Alexandria via LeMat-Bulk.

a = 4.1501 Å, b = 4.1501 Å, c = 4.1501 Å
α = 90.00°, β = 90.00°, γ = 90.00°
Last column: nearest neighbours and their distance in Å.
Positions (direct):
Mo 0.0000 0.5000 0.0000  2 N 2.08
Mo 0.0000 0.0000 0.5000  2 N 2.08
Mo 0.5000 0.0000 0.0000  2 N 2.08
Sc 0.5000 0.5000 0.5000  12 Mo 2.93
N 0.0000 0.0000 0.0000  6 Mo 2.08

Output
* formation energy (no corrections): -0.254 eV per atom
* total DFT energy (no corrections): -51.71 eV for the cell shown
* symmetry: Pm-3m

---

The following is a GGA-PBEsol calculation of a relaxed Sc2MoN crystal, from Alexandria via LeMat-Bulk.

a = 4.3666 Å, b = 4.3666 Å, c = 4.3666 Å
α = 60.00°, β = 60.00°, γ = 60.00°
Last column: nearest neighbours and their distance in Å.
Positions (direct):
Sc 0.2500 0.2500 0.2500  4 N 2.67, 4 Mo 2.67
Sc 0.7500 0.7500 0.7500  4 Mo 2.67, 4 N 2.67
N 0.0000 0.0000 0.0000  8 Sc 2.67
Mo 0.5000 0.5000 0.5000  8 Sc 2.67

Output
* formation energy (no corrections): 0.571 eV per atom
* total DFT energy (no corrections): -31.22 eV for the cell shown
* symmetry: Fm-3m

---

The following is a GGA-PBEsol calculation of a relaxed ScMoSe2N crystal, from Alexandria via LeMat-Bulk.

a = 3.9306 Å, b = 5.0812 Å, c = 5.0812 Å
α = 90.00°, β = 90.00°, γ = 90.00°
Last column: nearest neighbours and their distance in Å.
Positions (direct):
Mo 0.5000 0.5000 0.5000  8 Se 3.21, 4 N 3.59
Sc 0.0000 0.0000 0.0000  2 N 1.97
N 0.5000 0.0000 0.0000  2 Sc 1.97
Se 0.0000 0.5000 0.0000  2 Sc 2.54
Se 0.0000 0.0000 0.5000  2 Sc 2.54

Output
* formation energy (no corrections): 0.552 eV per atom
* total DFT energy (no corrections): -31.84 eV for the cell shown
* symmetry: P4/mmm

---

The following is a GGA-PBEsol calculation of a relaxed MoSeN3 crystal, from Alexandria via LeMat-Bulk.

a = 3.9387 Å, b = 3.9387 Å, c = 3.9387 Å
α = 90.00°, β = 90.00°, γ = 90.00°
Last column: nearest neighbours and their distance in Å.
Positions (direct):
N 0.0000 0.0000 0.5000  2 Mo 1.97
N 0.5000 0.0000 0.0000  2 Mo 1.97
N 0.0000 0.5000 0.0000  2 Mo 1.97
Mo 0.0000 0.0000 0.0000  6 N 1.97
Se 0.5000 0.5000 0.5000  12 N 2.79

Output
* formation energy (no corrections): 0.988 eV per atom
* total DFT energy (no corrections): -36.26 eV for the cell shown
* symmetry: Pm-3m

---

The following is a GGA-PBEsol calculation of a relaxed MoSe2N crystal, from Alexandria via LeMat-Bulk.

a = 3.0831 Å, b = 3.0831 Å, c = 7.7976 Å
α = 78.60°, β = 78.60°, γ = 60.00°
Last column: nearest neighbours and their distance in Å.
Positions (direct):
Se 0.3963 0.3963 0.8110  3 N 2.29, 1 Mo 2.36
Se 0.6037 0.6037 0.1890  3 N 2.29, 1 Mo 2.36
Mo 0.5000 0.5000 0.5000  2 Se 2.36
N 0.0000 0.0000 0.0000  6 Se 2.29

Output
* formation energy (no corrections): 1.198 eV per atom
* total DFT energy (no corrections): -23.20 eV for the cell shown
* symmetry: R-3m

---

The following is a GGA-PBEsol calculation of a relaxed MoSe2N2 crystal, from Alexandria via LeMat-Bulk.

a = 4.5403 Å, b = 4.5403 Å, c = 4.5403 Å
α = 109.40°, β = 109.40°, γ = 109.62°
Last column: nearest neighbours and their distance in Å.
Positions (direct):
Se 0.2500 0.7500 0.5000  2 Se 2.62, 4 N 2.72
Se 0.7500 0.2500 0.5000  2 Se 2.62, 4 N 2.72
Mo 0.0000 0.0000 0.0000  2 N 2.04
N 0.6104 0.6104 0.0000  1 N 1.16
N 0.3896 0.3896 0.0000  1 N 1.16

Output
* formation energy (no corrections): 0.354 eV per atom
* total DFT energy (no corrections): -34.75 eV for the cell shown
* symmetry: I4/mmm

---

The following is a GGA-PBEsol calculation of a relaxed SnMoSe2N crystal, from Alexandria via LeMat-Bulk.

a = 3.8482 Å, b = 5.2529 Å, c = 5.2529 Å
α = 90.00°, β = 90.00°, γ = 90.00°
Last column: nearest neighbours and their distance in Å.
Positions (direct):
Se 0.0000 0.0000 0.5000  2 Sn 2.63
Se 0.0000 0.5000 0.0000  2 Sn 2.63
N 0.5000 0.0000 0.0000  2 Sn 1.92
Sn 0.0000 0.0000 0.0000  2 N 1.92
Mo 0.5000 0.5000 0.5000  8 Se 3.26

Output
* formation energy (no corrections): 1.234 eV per atom
* total DFT energy (no corrections): -26.08 eV for the cell shown
* symmetry: P4/mmm

---

The following is a GGA-PBEsol calculation of a relaxed TiMoSeN2 crystal, from Alexandria via LeMat-Bulk.

a = 3.8489 Å, b = 3.8489 Å, c = 5.0899 Å
α = 90.00°, β = 90.00°, γ = 90.00°
Last column: nearest neighbours and their distance in Å.
Positions (direct):
Se 0.0000 0.0000 0.5000  2 Mo 2.54, 4 Ti 2.72
N 0.5000 0.0000 0.0000  2 Mo 1.92
N 0.0000 0.5000 0.0000  2 Mo 1.92
Mo 0.0000 0.0000 0.0000  4 N 1.92
Ti 0.5000 0.5000 0.5000  4 Se 2.72

Output
* formation energy (no corrections): 0.156 eV per atom
* total DFT energy (no corrections): -40.21 eV for the cell shown
* symmetry: P4/mmm

---

The following is a GGA-PBEsol calculation of a relaxed TlMoSe2N crystal, from Alexandria via LeMat-Bulk.

a = 4.0343 Å, b = 5.3429 Å, c = 5.3429 Å
α = 90.00°, β = 90.00°, γ = 90.00°
Last column: nearest neighbours and their distance in Å.
Positions (direct):
Tl 0.0000 0.0000 0.0000  2 N 2.02
Mo 0.5000 0.5000 0.5000  8 Se 3.35
N 0.5000 0.0000 0.0000  2 Tl 2.02
Se 0.0000 0.5000 0.0000  2 Tl 2.67
Se 0.0000 0.0000 0.5000  2 Tl 2.67

Output
* formation energy (no corrections): 1.716 eV per atom
* total DFT energy (no corrections): -22.04 eV for the cell shown
* symmetry: P4/mmm